Below is crystalline NaDyCu2Cl8 at its relaxed geometry, with properties calculated at the PBE level.

Lattice parameters (Å, degrees): 8.1899 8.1899 8.1899 134.00 134.00 67.09
Atoms (fractional coordinates):
Na 0.0000 0.0000 0.0000
Dy 0.7500 0.2500 0.5000
Cu 0.2500 0.7500 0.5000
Cu 0.5000 0.5000 0.0000
Cl 0.0101 0.9592 0.6033
Cl 0.0408 0.6441 0.0509
Cl 0.1446 0.2703 0.5686
Cl 0.3559 0.4068 0.3967
Cl 0.4240 0.8554 0.1257
Cl 0.5932 0.9899 0.9491
Cl 0.7017 0.5760 0.4314
Cl 0.7297 0.2983 0.8743

Results
- ΔE_f (raw): -1.218 eV/atom
- Space group: I-4, No. 82
- Uncorrected energy: -3.62 eV/atom



Below is crystalline DyCuTe2ClO6 at its relaxed geometry, with properties calculated at the PBE level.

Lattice parameters (Å, degrees): 5.4453 14.9466 9.3591 90.00 100.32 90.00
Atoms (fractional coordinates):
Dy 0.2448 0.0871 0.4729
Dy 0.2448 0.4129 0.9729
Dy 0.7552 0.5871 0.0271
Dy 0.7552 0.9129 0.5271
Cu 0.2261 0.2226 0.1716
Cu 0.2261 0.2774 0.6716
Cu 0.7739 0.7226 0.3284
Cu 0.7739 0.7774 0.8284
Te 0.2430 0.6551 0.7838
Te 0.2430 0.8449 0.2838
Te 0.2837 0.5866 0.2961
Te 0.2837 0.9134 0.7961
Te 0.7163 0.0866 0.2039
Te 0.7163 0.4134 0.7039
Te 0.7570 0.1551 0.7162
Te 0.7570 0.3449 0.2162
Cl 0.2225 0.1001 0.9433
Cl 0.2225 0.3999 0.4433
Cl 0.7775 0.6001 0.5567
Cl 0.7775 0.8999 0.0567
O 0.0010 0.1770 0.5963
O 0.0010 0.3230 0.0963
O 0.0341 0.6777 0.2289
O 0.0341 0.8223 0.7289
O 0.1324 0.5176 0.1345
O 0.1324 0.9824 0.6345
O 0.3735 0.5461 0.8748
O 0.3735 0.9539 0.3748
O 0.4590 0.1382 0.2927
O 0.4590 0.3618 0.7927
O 0.4836 0.2151 0.5922
O 0.4836 0.2849 0.0922
O 0.5164 0.7151 0.9078
O 0.5164 0.7849 0.4078
O 0.5410 0.6382 0.2073
O 0.5410 0.8618 0.7073
O 0.6265 0.0461 0.6252
O 0.6265 0.4539 0.1252
O 0.8676 0.0176 0.3655
O 0.8676 0.4824 0.8655
O 0.9659 0.1777 0.2711
O 0.9659 0.3223 0.7711
O 0.9990 0.6770 0.9037
O 0.9990 0.8230 0.4037

Results
- ΔE_f (raw): -1.557 eV/atom
- Space group: P2_1/c, No. 14
- Uncorrected energy: -5.79 eV/atom



Below is crystalline DyCuPbCl6 at its relaxed geometry, with properties calculated at the PBE level.

Lattice parameters (Å, degrees): 6.6502 6.6502 12.9213 90.00 90.00 120.00
Atoms (fractional coordinates):
Dy 0.3333 0.6667 0.2500
Dy 0.6667 0.3333 0.7500
Cu 0.3333 0.6667 0.7500
Cu 0.6667 0.3333 0.2500
Pb 0.0000 0.0000 0.0000
Pb 0.0000 0.0000 0.5000
Cl 0.0107 0.3612 0.6349
Cl 0.0107 0.6495 0.8651
Cl 0.3505 0.3612 0.8651
Cl 0.3505 0.9893 0.6349
Cl 0.3612 0.0107 0.1349
Cl 0.3612 0.3505 0.3651
Cl 0.6388 0.6495 0.6349
Cl 0.6388 0.9893 0.8651
Cl 0.6495 0.0107 0.3651
Cl 0.6495 0.6388 0.1349
Cl 0.9893 0.3505 0.1349
Cl 0.9893 0.6388 0.3651

Results
- ΔE_f (raw): -1.447 eV/atom
- Space group: P-31c, No. 163
- Uncorrected energy: -4.06 eV/atom



Below is crystalline RbDyCuCl6 at its relaxed geometry, with properties calculated at the PBE level.

Lattice parameters (Å, degrees): 6.5614 6.5625 7.3569 93.41 93.45 113.85
Atoms (fractional coordinates):
Rb 0.0000 0.0000 0.0000
Dy 0.3473 0.6522 0.5000
Cu 0.6948 0.3034 0.5003
Cl 0.0217 0.3386 0.6643
Cl 0.0394 0.6026 0.2489
Cl 0.3981 0.9607 0.7509
Cl 0.4321 0.3396 0.2986
Cl 0.6601 0.5673 0.7016
Cl 0.6608 0.9778 0.3356

Results
- ΔE_f (raw): -1.623 eV/atom
- Space group: P1, No. 1
- Uncorrected energy: -3.93 eV/atom



Below is crystalline Rb2DyCuCl6 at its relaxed geometry, with properties calculated at the PBE level.

Lattice parameters (Å, degrees): 7.1524 7.3744 7.4019 115.23 114.22 98.43
Atoms (fractional coordinates):
Rb 0.2433 0.2428 0.4863
Rb 0.7567 0.7572 0.5137
Dy 0.0000 0.5000 0.0000
Cu 0.5000 0.0000 0.0000
Cl 0.2217 0.8282 0.0002
Cl 0.2306 0.7321 0.4633
Cl 0.2887 0.3194 0.0016
Cl 0.7113 0.6806 0.9984
Cl 0.7694 0.2679 0.5367
Cl 0.7783 0.1718 0.9998

Results
- ΔE_f (raw): -1.786 eV/atom
- Space group: P-1, No. 2
- Uncorrected energy: -3.96 eV/atom



Below is crystalline DyCuSnCl6 at its relaxed geometry, with properties calculated at the PBE level.

Lattice parameters (Å, degrees): 6.6111 6.6111 12.7735 90.00 90.00 120.00
Atoms (fractional coordinates):
Dy 0.3333 0.6667 0.2500
Dy 0.6667 0.3333 0.7500
Cu 0.3333 0.6667 0.7500
Cu 0.6667 0.3333 0.2500
Sn 0.0000 0.0000 0.0000
Sn 0.0000 0.0000 0.5000
Cl 0.0114 0.3579 0.6335
Cl 0.0114 0.6535 0.8665
Cl 0.3465 0.3579 0.8665
Cl 0.3465 0.9886 0.6335
Cl 0.3579 0.0114 0.1335
Cl 0.3579 0.3465 0.3665
Cl 0.6421 0.6535 0.6335
Cl 0.6421 0.9886 0.8665
Cl 0.6535 0.0114 0.3665
Cl 0.6535 0.6421 0.1335
Cl 0.9886 0.3465 0.1335
Cl 0.9886 0.6421 0.3665

Results
- ΔE_f (raw): -1.390 eV/atom
- Space group: P-31c, No. 163
- Uncorrected energy: -4.03 eV/atom